(1)
The following is a GGA-PBE calculation of Pm8ZnPt2 after structural relaxation, from the Alexandria database.

Structure (extended XYZ):
```
11
Lattice="5.182 0.000 0.000 0.000 6.908 -0.080 -2.591 -3.086 8.824" Properties=species:S:1:pos:R:3 pbc="T T T"
Pm 0.000 1.125 7.115
Pm 2.591 -1.071 3.094
Pm 2.591 2.703 5.242
Pm 2.591 -1.429 8.303
Pm 0.000 1.120 3.502
Pm 0.000 4.894 5.651
Pm 2.591 2.698 1.629
Pm 0.000 5.252 0.442
Zn 2.591 0.000 0.000
Pt 2.591 -0.159 5.807
Pt 0.000 3.982 2.938
```

Calculated values
* E_tot: -5.15 eV per atom
* DOS at the Fermi energy: 9.6 states/eV/cell
* size of the total moment: 0.00 μB per atom
* energy of formation: -0.48 eV per atom
* excess energy over the best structure of this formula in the dataset: 0.000 eV per atom
* symmetry: C2/m (12)

=====

(2)
The following is a GGA-PBE calculation of Nd3Ni9Ge2 after structural relaxation, from the Alexandria database.

Structure (extended XYZ):
```
14
Lattice="3.991 0.000 0.000 1.995 7.687 0.089 1.995 1.829 7.466" Properties=species:S:1:pos:R:3 pbc="T T T"
Nd 0.000 0.000 0.000
Nd 3.991 2.924 2.322
Nd 3.991 6.592 5.234
Ni 1.995 4.758 3.778
Ni 5.986 8.776 4.677
Ni 1.995 0.740 2.879
Ni 5.986 6.544 7.488
Ni 1.995 2.972 0.068
Ni 5.986 7.070 2.957
Ni 1.995 2.446 4.598
Ni 5.986 4.483 6.216
Ni 1.995 5.033 1.340
Ge 3.991 3.399 5.490
Ge 3.991 6.117 2.066
```

Calculated values
* E_tot: -5.74 eV per atom
* DOS at the Fermi energy: 9.2 states/eV/cell
* size of the total moment: 0.00 μB per atom
* energy of formation: -0.35 eV per atom
* symmetry: Immm (71)

=====

(3)
The following is a GGA-PBE calculation of Mo3PbSe after structural relaxation, from the Alexandria database.

Structure (extended XYZ):
```
5
Lattice="5.047 0.000 0.000 0.000 5.047 0.000 0.000 0.000 5.047" Properties=species:S:1:pos:R:3 pbc="T T T"
Pb 0.000 0.000 0.000
Mo 0.000 2.523 0.000
Mo 0.000 0.000 2.523
Mo 2.523 0.000 0.000
Se 2.523 2.523 2.523
```

Calculated values
* E_tot: -5.30 eV per atom
* DOS at the Fermi energy: 9.8 states/eV/cell
* size of the total moment: 0.00 μB per atom
* formation energy from raw total energies: 2.641 eV/atom
* excess energy over the best structure of this formula in the dataset: 1.596 eV per atom
* symmetry: Pm-3m (221)

=====

(4)
The following is a GGA-PBE calculation of DyY2ErTm5 after structural relaxation, from the Alexandria database.

Structure (extended XYZ):
```
18
Lattice="5.547 0.000 0.000 -2.774 9.776 0.000 0.000 0.000 10.524" Properties=species:S:1:pos:R:3 pbc="T T T"
Dy 2.774 5.835 5.372
Dy 0.000 3.941 0.110
Y 2.774 7.568 8.627
Y 0.000 2.132 7.750
Y 0.000 2.208 3.365
Y 2.774 7.643 2.488
Er 2.774 1.681 10.082
Er 0.000 8.094 4.820
Tm 0.000 7.675 0.231
Tm 2.774 4.242 8.478
Tm 0.000 9.372 7.759
Tm 0.000 5.867 7.453
Tm 2.774 9.388 5.539
Tm 2.774 2.101 5.493
Tm 0.000 5.534 3.217
Tm 2.774 0.404 2.497
Tm 2.774 3.908 2.191
Tm 0.000 0.387 0.277
```

Calculated values
* E_tot: -4.78 eV per atom
* DOS at the Fermi energy: 28.3 states/eV/cell
* size of the total moment: 0.00 μB per atom
* energy of formation: 0.16 eV per atom
* symmetry: Cmc2_1 (36)

=====

(5)
The following is a GGA-PBE calculation of DyURe after structural relaxation, from the Alexandria database.

Structure (extended XYZ):
```
6
Lattice="4.862 0.000 0.000 0.000 4.621 0.000 0.000 0.000 6.822" Properties=species:S:1:pos:R:3 pbc="T T T"
Re 2.431 0.000 4.825
Re 0.000 2.310 1.997
U 0.000 0.000 3.115
U 2.431 2.310 3.707
Dy 2.431 2.310 0.275
Dy 0.000 0.000 6.546
```

Calculated values
* E_tot: -9.15 eV per atom
* DOS at the Fermi energy: 11.3 states/eV/cell
* size of the total moment: 0.59 μB per atom
* energy of formation: 0.30 eV per atom
* symmetry: Pmmn (59)

=====

(6)
The following is a GGA-PBE calculation of LaPmHgRu after structural relaxation, from the Alexandria database.

Structure (extended XYZ):
```
4
Lattice="-0.835 -1.139 3.298 3.173 -1.658 0.230 3.186 6.524 3.059" Properties=species:S:1:pos:R:3 pbc="T T T"
La 3.681 3.746 4.176
Pm 2.284 0.886 2.835
Hg 0.261 0.535 0.251
Ru 1.797 3.680 1.726
```

Calculated values
* E_tot: -5.16 eV per atom
* DOS at the Fermi energy: 4.3 states/eV/cell
* size of the total moment: 0.00 μB per atom
* energy of formation: -0.34 eV per atom
* excess energy over the best structure of this formula in the dataset: 0.000 eV per atom
* symmetry: P4mm (99)

=====

(7)
The following is a GGA-PBE calculation of HoTaRh2 after structural relaxation, from the Alexandria database.

Structure (extended XYZ):
```
4
Lattice="3.183 0.000 0.000 0.000 3.183 0.000 0.000 0.000 7.202" Properties=species:S:1:pos:R:3 pbc="T T T"
Rh 0.000 0.000 5.691
Rh 0.000 0.000 1.511
Ho 1.591 1.591 3.601
Ta 1.591 1.591 0.000
```

Calculated values
* E_tot: -8.40 eV per atom
* DOS at the Fermi energy: 3.2 states/eV/cell
* size of the total moment: 0.00 μB per atom
* energy of formation: -0.61 eV per atom
* excess energy over the best structure of this formula in the dataset: 0.000 eV per atom
* symmetry: P4/mmm (123)

=====

(8)
The following is a GGA-PBE calculation of Ac2Ga3PdPt4 after structural relaxation, from the Alexandria database.

Structure (extended XYZ):
```
10
Lattice="4.387 0.000 0.000 0.000 4.387 0.000 0.000 0.000 10.808" Properties=species:S:1:pos:R:3 pbc="T T T"
Ac 2.193 0.000 2.746
Ac 0.000 2.193 8.062
Ga 0.000 0.000 5.404
Ga 2.193 0.000 9.504
Ga 0.000 2.193 1.304
Pd 2.193 2.193 5.404
Pt 2.193 2.193 0.000
Pt 0.000 0.000 0.000
Pt 2.193 0.000 6.996
Pt 0.000 2.193 3.812
```

Calculated values
* E_tot: -5.58 eV per atom
* DOS at the Fermi energy: 6.8 states/eV/cell
* size of the total moment: 0.00 μB per atom
* energy of formation: -0.91 eV per atom
* symmetry: P-4m2 (115)